# 1
DFT (PBE) results for a geometry-optimized Cs2PbS structure.

E above lowest polymorph	0.000	eV per atom
total magnetization	1.5	μB/f.u.
space-group type	No. 122
uncorrected formation energy	-1.48	eV/f.u.
calculated total energy	-2.7562	eV/atom

a = 9.060 Å, b = 9.060 Å, c = 9.060 Å
α = 96.03°, β = 96.03°, γ = 142.17°
Last column: magnetic moment on the atom in μB.
Positions (direct):
Cs (0.734, 0.375, 0.859)  0.03
Cs (0.516, 0.875, 0.141)  0.03
Cs (0.125, 0.266, 0.641)  0.03
Cs (0.625, 0.484, 0.359)  0.03
Pb (0.000, 0.000, 0.000)  0.32
Pb (0.250, 0.750, 0.500)  0.32
S (0.500, 0.500, 0.000)  0.07
S (0.750, 0.250, 0.500)  0.07

---

# 2
DFT (PBE) results for a geometry-optimized Cs3Ac3HfSe8 structure.

total magnetization	0.0	μB/f.u.
space-group type	No. 166
uncorrected formation energy	-25.42	eV/f.u.
calculated total energy	-5.2090	eV/atom

a = 8.916 Å, b = 8.916 Å, c = 10.003 Å
α = 116.47°, β = 90.00°, γ = 120.00°
Positions (direct):
Cs (0.000, 0.000, 0.000)
Cs (0.000, 0.500, 0.000)
Cs (0.500, 0.500, 0.000)
Ac (0.500, 0.000, 0.500)
Ac (0.500, 0.500, 0.500)
Ac (0.000, 0.500, 0.500)
Hf (0.000, 0.000, 0.500)
Se (0.267, 0.534, 0.301)
Se (0.733, 0.466, 0.699)
Se (0.793, 0.585, 0.320)
Se (0.207, 0.415, 0.680)
Se (0.793, 0.028, 0.320)
Se (0.207, 0.972, 0.680)
Se (0.235, 0.028, 0.320)
Se (0.765, 0.972, 0.680)

---

# 3
DFT (PBE) results for a geometry-optimized V5Si3Rh structure.

total magnetization	0.0	μB/f.u.
space-group type	No. 12
uncorrected formation energy	1.36	eV/f.u.
calculated total energy	-7.5390	eV/atom

a = 6.459 Å, b = 6.459 Å, c = 7.588 Å
α = 79.98°, β = 79.98°, γ = 64.12°
Positions (direct):
V (0.929, 0.357, 0.294)
V (0.335, 0.665, 0.000)
V (0.737, 0.737, 0.077)
V (0.514, 0.514, 0.320)
V (0.486, 0.486, 0.680)
V (0.263, 0.263, 0.923)
V (0.357, 0.929, 0.294)
V (0.665, 0.335, 0.000)
V (0.071, 0.643, 0.706)
V (0.643, 0.071, 0.706)
Si (0.675, 0.675, 0.796)
Si (0.695, 0.695, 0.474)
Si (0.000, 0.000, 0.000)
Si (0.000, 0.000, 0.500)
Si (0.325, 0.325, 0.204)
Si (0.305, 0.305, 0.526)
Rh (0.113, 0.113, 0.712)
Rh (0.887, 0.887, 0.288)

---

# 4
DFT (PBE) results for a geometry-optimized CoAuSe2 structure.

total magnetization	1.1	μB/f.u.
space-group type	No. 44
uncorrected formation energy	0.71	eV/f.u.
calculated total energy	-4.1594	eV/atom

a = 6.586 Å, b = 6.586 Å, c = 6.586 Å
α = 153.83°, β = 144.66°, γ = 44.51°
Last column: magnetic moment on the atom in μB.
Positions (direct):
Au (0.433, 0.433, 0.000)  0.02
Co (0.222, 0.722, 0.500)  1.00
Se (0.070, 0.070, 0.000)  0.02
Se (0.776, 0.276, 0.500)  0.04

---

# 5
DFT (PBE) results for a geometry-optimized NdBiO2 structure.

total magnetization	0.0	μB/f.u.
space-group type	No. 166
uncorrected formation energy	-9.03	eV/f.u.
calculated total energy	-6.8983	eV/atom

a = 3.681 Å, b = 3.681 Å, c = 7.316 Å
α = 75.43°, β = 75.43°, γ = 60.00°
Positions (direct):
Nd (0.500, 0.500, 0.500)
Bi (0.000, 0.000, 0.000)
O (0.114, 0.114, 0.659)
O (0.886, 0.886, 0.341)

---

# 6
DFT (PBE) results for a geometry-optimized Pr8Ir3RhI3 structure.

total magnetization	0.6	μB/f.u.
space-group type	No. 12
uncorrected formation energy	-12.37	eV/f.u.
calculated total energy	-5.9458	eV/atom

a = 8.468 Å, b = 8.465 Å, c = 9.515 Å
α = 116.38°, β = 89.96°, γ = 120.04°
Positions (direct):
Pr (0.271, 0.543, 0.315)
Pr (0.729, 0.457, 0.685)
Pr (0.772, 0.544, 0.316)
Pr (0.228, 0.456, 0.684)
Pr (0.772, 0.044, 0.316)
Pr (0.228, 0.956, 0.684)
Pr (0.272, 0.044, 0.316)
Pr (0.728, 0.956, 0.684)
Ir (0.500, 0.000, 0.500)
Ir (0.500, 0.500, 0.500)
Ir (0.000, 0.500, 0.500)
Rh (0.000, 0.000, 0.500)
I (0.000, 0.000, 0.000)
I (0.000, 0.500, 0.000)
I (0.500, 0.500, 0.000)

---

Number 1: N(E_F) 5.4 states/eV/cell. Number 2: N(E_F) 0.0 states/eV/cell. Number 3: N(E_F) 17.5 states/eV/cell. Number 4: N(E_F) 4.0 states/eV/cell. Number 5: N(E_F) 0.3 states/eV/cell. Number 6: N(E_F) 6.7 states/eV/cell.